Material: Dy3TmTl2
Method: DFT, PBE
State: relaxed

Geometry as POSCAR:
```
Dy3TmTl2
1.0
-4.0773 0.7935 -2.9275
-1.3531 -6.6215 0.0896
-5.6062 1.2559 8.1487
Tl Dy Tm
4 6 2
direct
0.0000 0.2940 0.6345
0.5000 0.7068 0.8651
0.5000 0.2068 0.1349
0.0000 0.7940 0.3655
0.0000 0.8244 0.6845
0.0000 0.3244 0.3155
0.5000 0.6760 0.1890
0.0000 0.4542 0.9611
0.0000 0.9542 0.0389
0.5000 0.1760 0.8110
0.5000 0.0445 0.4605
0.5000 0.5445 0.5395
```

## Properties
calculated formation energy = -1.58 eV/f.u.
space group = Pmc2_1 (26)
energy above the lowest structure with this stoichiometry = 0.000 eV/atom
calculated total energy = -0.3013 Ry/atom